(1)
The following is a DFT calculation (PBE) of crystalline ZnCdCl2 at its relaxed geometry.

Properties
Magnetic moment, μB/f.u.: 0.00
Total DFT energy (no corrections), eV/atom: -1.888
Energy above the most stable polymorph in this dataset, kcal/mol of atoms: 6.10

Unit cell a=3.3258 b=3.3258 c=8.3546 alpha=90.00 beta=90.00 gamma=90.00
Space group P4mm (No. 99)
One atom of each set of equivalent atoms:
Zn1 0.0000 0.0000 0.0000 (multiplicity 1)
Cd1 0.5000 0.5000 0.2623 (multiplicity 1)
Cl1 0.0000 0.0000 0.4495 (multiplicity 1)
Cl2 0.5000 0.5000 0.8487 (multiplicity 1)

(2)
The following is a DFT calculation (PBE) of crystalline Zn2CdCl at its relaxed geometry.

Properties
Magnetic moment, μB/f.u.: 0.00
Total DFT energy (no corrections), eV/atom: -1.379
Energy above the most stable polymorph in this dataset, kcal/mol of atoms: 2.25

Unit cell a=3.5551 b=5.8698 c=8.4591 alpha=90.00 beta=90.00 gamma=90.00
Space group Immm (No. 71)
One atom of each set of equivalent atoms:
Zn1 0.0000 0.0000 0.2460 (multiplicity 4)
Cd1 0.0000 0.5000 0.0000 (multiplicity 2)
Cl1 0.0000 0.5000 0.5000 (multiplicity 2)

(3)
The following is a DFT calculation (PBE) of crystalline ZnCd3Cl at its relaxed geometry.

Properties
Magnetic moment, μB/f.u.: 0.00
Total DFT energy (no corrections), eV/atom: -1.233
Energy above the most stable polymorph in this dataset, kcal/mol of atoms: 0.00

Unit cell a=5.1835 b=5.1835 c=5.1835 alpha=90.00 beta=90.00 gamma=90.00
Space group Pm-3m (No. 221)
One atom of each set of equivalent atoms:
Zn1 0.0000 0.0000 0.0000 (multiplicity 1)
Cd1 0.0000 0.0000 0.5000 (multiplicity 3)
Cl1 0.5000 0.5000 0.5000 (multiplicity 1)

(4)
The following is a DFT calculation (PBE) of crystalline Zn2Cd2Cl at its relaxed geometry.

Properties
Magnetic moment, μB/f.u.: 0.00
Total DFT energy (no corrections), eV/atom: -1.356

Unit cell a=8.1762 b=8.1762 c=3.1514 alpha=90.00 beta=90.00 gamma=90.00
Space group P4/mbm (No. 127)
One atom of each set of equivalent atoms:
Zn1 0.1093 0.3907 0.0000 (multiplicity 4)
Cd1 0.1926 0.6926 0.5000 (multiplicity 4)
Cl1 0.0000 0.0000 0.5000 (multiplicity 2)

(5)
The following is a DFT calculation (PBE) of crystalline ZnCdCl3 at its relaxed geometry.

Properties
Magnetic moment, μB/f.u.: 0.94
Total DFT energy (no corrections), eV/atom: -2.012
Energy above the most stable polymorph in this dataset, kcal/mol of atoms: 4.31

Unit cell a=5.1877 b=5.1877 c=5.1877 alpha=90.00 beta=90.00 gamma=90.00
Space group Pm-3m (No. 221)
One atom of each set of equivalent atoms:
Zn1 0.0000 0.0000 0.0000 (multiplicity 1)
Cd1 0.5000 0.5000 0.5000 (multiplicity 1)
Cl1 0.0000 0.5000 0.5000 (multiplicity 3)

(6)
The following is a DFT calculation (PBE) of crystalline ZnCdCl3 at its relaxed geometry.

Properties
Magnetic moment, μB/f.u.: 0.23
Total DFT energy (no corrections), eV/atom: -2.199
Energy above the most stable polymorph in this dataset, kcal/mol of atoms: 0.00

Unit cell a=4.8902 b=4.8902 c=4.8902 alpha=90.00 beta=90.00 gamma=90.00
Space group Pm-3m (No. 221)
One atom of each set of equivalent atoms:
Zn1 0.0000 0.0000 0.0000 (multiplicity 1)
Cd1 0.5000 0.5000 0.5000 (multiplicity 1)
Cl1 0.0000 0.0000 0.5000 (multiplicity 3)

What did we get for E_form (uncorrected)? Answer: -418, -52, -60, -112, -466, -653 meV per atom, in the order shown.